Computed, not measured: a geometry-optimized Cu3MoH structure at the GGA-PBE level of DFT.

Structure (POSCAR):
```
Cu3MoH
1.0
3.803 0.000 0.000
0.000 3.803 0.000
0.000 0.000 3.803
Cu Mo H
3 1 1
Direct
0.000 0.000 0.500
0.000 0.500 0.000
0.500 0.000 0.000
0.500 0.500 0.500
0.000 0.000 0.000
```

polymorph energy (0 for the lowest one) = 0.000 eV per atom
DOS(E_F) = 1.035 states/eV/atom
mass density = 8.68 g/cm3
uncorrected energy = -23.9 eV for the cell shown
total moment = 0.039 μB per atom